Material: Cd5Mo3
Method: DFT, PBE-GGA
State: relaxed

```
Cd5Mo3
1.0
5.875 0.000 0.000
1.778 7.171 0.000
1.975 0.921 7.216
Cd Mo
10 6
direct
0.022 0.381 0.359 Cd
0.239 0.750 0.247 Cd
0.251 0.989 0.506 Cd
0.266 0.240 0.746 Cd
0.475 0.151 0.119 Cd
0.525 0.849 0.881 Cd
0.734 0.760 0.254 Cd
0.749 0.011 0.494 Cd
0.761 0.250 0.753 Cd
0.978 0.619 0.641 Cd
0.016 0.872 0.896 Mo
0.228 0.534 0.967 Mo
0.486 0.598 0.625 Mo
0.514 0.402 0.375 Mo
0.772 0.466 0.033 Mo
0.984 0.128 0.104 Mo
```

Computed properties:
The density of states at the Fermi level is 6.4 states/eV/cell. The energy of formation comes out at 0.345 eV/atom. The calculation puts the total energy at -4.2885 eV per atom. As for the space group: P-1 (2).